(1)
First-principles (PBE) data for crystalline P2RhSI at its relaxed geometry, as listed in Alexandria via LeMat-Bulk.

abc: 4.5709 4.5709 5.0130
angles: 90.00 90.00 90.00
Element x y z (fractional)
P: 0.0000 0.5000 0.0000
P: 0.5000 0.0000 0.0000
Rh: 0.0000 0.0000 0.0000
S: 0.0000 0.0000 0.5000
I: 0.5000 0.5000 0.5000

Formation energy without anion corrections in eV per atom: 0.58
Offset from the most stable computed form in eV/atom: 0.000
Spin magnetization in μB per atom: 0.000
Uncorrected energy in eV/atom: -4.1862

---

(2)
First-principles (PBE) data for crystalline P2RhSI at its relaxed geometry, as listed in Alexandria via LeMat-Bulk.

abc: 5.0872 5.0872 4.9211
angles: 90.00 90.00 90.00
Element x y z (fractional)
P: 0.0000 0.5000 0.0000
P: 0.5000 0.0000 0.0000
Rh: 0.0000 0.0000 0.5000
S: 0.5000 0.5000 0.5000
I: 0.5000 0.5000 0.0000

Formation energy without anion corrections in eV per atom: 1.86
Offset from the most stable computed form in eV/atom: 1.277
Spin magnetization in μB per atom: 0.213
Uncorrected energy in eV/atom: -2.9094

---

(3)
First-principles (PBE) data for crystalline Sb2PRhI at its relaxed geometry, as listed in Alexandria via LeMat-Bulk.

abc: 5.1051 5.1051 5.3613
angles: 90.00 90.00 90.00
Element x y z (fractional)
Sb: 0.0000 0.5000 0.0000
Sb: 0.5000 0.0000 0.0000
P: 0.0000 0.0000 0.5000
Rh: 0.5000 0.5000 0.0000
I: 0.5000 0.5000 0.5000

Formation energy without anion corrections in eV per atom: 0.70
Offset from the most stable computed form in eV/atom: 0.000
Spin magnetization in μB per atom: 0.000
Uncorrected energy in eV/atom: -3.8148

---

> Among the records above, which one has the highest spin magnetization?

number 2